1.
# TbY2Pa

Crystalline TbY2Pa at its relaxed geometry (PBE, Alexandria).

```
TbY2Pa
1.0
3.459 0.000 0.000
1.729 2.996 0.000
1.729 0.999 11.506
Tb Pa Y
1 1 2
Direct
0.500 0.500 0.500
0.000 0.000 0.000
0.746 0.746 0.762
0.254 0.254 0.238
```

Values from the calculation:
Total moment in μB per formula unit: 0.00
V in Å³ per cell: 119.2
Formation energy in meV per atom: 124

2.
# Sc6Tl3Pb

Crystalline Sc6Tl3Pb at its relaxed geometry (PBE, Alexandria).

```
Sc6Tl3Pb
1.0
6.477 0.000 0.000
0.000 9.311 -1.318
0.000 -3.362 8.782
Tl Pb Sc
6 2 12
Direct
0.211 0.432 0.568
0.012 0.693 0.914
0.711 0.568 0.432
0.012 0.086 0.307
0.512 0.307 0.086
0.512 0.914 0.693
0.034 0.159 0.841
0.534 0.841 0.159
0.238 0.700 0.300
0.057 0.778 0.651
0.738 0.300 0.700
0.557 0.651 0.778
0.057 0.349 0.222
0.293 0.078 0.542
0.293 0.458 0.922
0.793 0.922 0.458
0.778 0.006 0.994
0.793 0.542 0.078
0.557 0.222 0.349
0.278 0.994 0.006
```

Values from the calculation:
Total moment in μB per formula unit: 0.00
V in Å³ per cell: 500.9
Formation energy in meV per atom: -163

3.
# La3CuAu

Crystalline La3CuAu at its relaxed geometry (PBE, Alexandria).

```
La3CuAu
1.0
5.519 0.000 0.000
0.000 5.519 0.000
0.000 0.000 5.519
La Cu Au
3 1 1
Direct
0.500 0.000 0.000
0.000 0.000 0.500
0.000 0.500 0.000
0.000 0.000 0.000
0.500 0.500 0.500
```

Values from the calculation:
Total moment in μB per formula unit: 2.22
V in Å³ per cell: 168.1
Formation energy in meV per atom: 112